{
  "formula": "MgW2F",
  "functional": "PBE+U",
  "state": "relaxed",
  "cell": [[6.3695, 0.0000, 0.0000], [0.0000, 6.3695, 0.0000], [0.0000, 0.0000, 6.3695]],
  "species": ["Mg", "Mg", "Mg", "Mg", "W", "W", "W", "W", "W", "W", "W", "W", "F", "F", "F", "F"],
  "fractional_positions": [[0.0000, 0.0000, 0.0000], [0.0000, 0.5000, 0.5000], [0.5000, 0.0000, 0.5000], [0.5000, 0.5000, 0.0000], [0.2500, 0.2500, 0.2500], [0.2500, 0.2500, 0.7500], [0.2500, 0.7500, 0.2500], [0.2500, 0.7500, 0.7500], [0.7500, 0.2500, 0.2500], [0.7500, 0.2500, 0.7500], [0.7500, 0.7500, 0.2500], [0.7500, 0.7500, 0.7500], [0.0000, 0.0000, 0.5000], [0.0000, 0.5000, 0.0000], [0.5000, 0.0000, 0.0000], [0.5000, 0.5000, 0.5000]],
  "relative_energy_mev_per_atom": 526,
  "e_tot_ev_per_cell": -48.40
}